[1]
Computed, not measured: Sm2GdEr after structural relaxation at the PBE level of DFT.

Excess energy over the best structure of this formula in the dataset: 103 meV per atom
Formation energy from the elements: 0.118 eV per atom

Cell lengths 8.0764, 8.0764, 8.0764 Å; angles 90.00, 90.00, 90.00 degrees
Space group Fm-3m (No. 225)
Inequivalent atoms, fractional coordinates:
Sm 0.2500 0.2500 0.2500 x8
Gd 0.0000 0.0000 0.0000 x4
Er 0.0000 0.0000 0.5000 x4

[2]
Computed, not measured: LiCuICl after structural relaxation at the PBE level of DFT.

Uncorrected formation energy: -0.965 eV per atom

Cell lengths 4.1255, 4.1255, 42.5261 Å; angles 90.00, 90.00, 120.00 degrees
Space group R-3m (No. 166, hexagonal axes)
Inequivalent atoms, fractional coordinates:
Li 0.0000 0.0000 0.1919 x6
Cu 0.0000 0.0000 0.3172 x6
I 0.0000 0.0000 0.3786 x6
Cl 0.0000 0.0000 0.1338 x6

[3]
Computed, not measured: HfTiCu after structural relaxation at the PBE level of DFT.

Excess energy over the best structure of this formula in the dataset: 194 meV per atom
Formation energy from the elements: 0.069 eV per atom

Cell lengths 5.4301, 3.0952, 12.8230 Å; angles 90.00, 98.08, 90.00 degrees
Space group Pm (No. 6)
Inequivalent atoms, fractional coordinates:
Hf 0.0000 0.0000 0.0000 x1
Hf 0.0959 0.5000 0.8053 x1
Hf 0.3237 0.5000 0.4834 x1
Hf 0.5975 0.0000 0.7773 x1
Ti 0.4325 0.0000 0.3034 x1
Ti 0.5003 0.5000 0.9662 x1
Ti 0.8310 0.0000 0.4524 x1
Ti 0.9390 0.5000 0.2783 x1
Cu 0.1440 0.0000 0.6344 x1
Cu 0.2942 0.5000 0.1450 x1
Cu 0.6513 0.0000 0.1322 x1
Cu 0.7729 0.5000 0.6167 x1

[4]
Computed, not measured: LaCrMo2 after structural relaxation at the PBE level of DFT.

Excess energy over the best structure of this formula in the dataset: 0 meV per atom
Formation energy from the elements: 0.414 eV per atom

Cell lengths 3.1955, 3.1955, 7.6012 Å; angles 90.00, 90.00, 90.00 degrees
Space group P4mm (No. 99)
Inequivalent atoms, fractional coordinates:
La 0.0000 0.0000 0.0000 x1
Cr 0.5000 0.5000 0.6805 x1
Mo 0.0000 0.0000 0.4919 x1
Mo 0.5000 0.5000 0.3015 x1

[5]
Computed, not measured: PmAlPdAu after structural relaxation at the PBE level of DFT.

Excess energy over the best structure of this formula in the dataset: 0 meV per atom
Formation energy from the elements: -0.782 eV per atom

Cell lengths 4.4916, 4.4916, 14.3324 Å; angles 90.00, 90.00, 120.00 degrees
Space group R3m (No. 160, hexagonal axes)
Inequivalent atoms, fractional coordinates:
Pm 0.0000 0.0000 0.0000 x3
Al 0.0000 0.0000 0.4887 x3
Pd 0.0000 0.0000 0.7877 x3
Au 0.0000 0.0000 0.2142 x3

[6]
Computed, not measured: Sn2Te2Pd after structural relaxation at the PBE level of DFT.

Uncorrected formation energy: -0.026 eV per atom

Cell lengths 7.8449, 7.8449, 4.5491 Å; angles 90.00, 90.00, 90.00 degrees
Space group P4/mbm (No. 127)
Inequivalent atoms, fractional coordinates:
Sn 0.1476 0.3524 0.0000 x4
Te 0.1791 0.6791 0.5000 x4
Pd 0.0000 0.0000 0.5000 x2

Taking the records one at a time from the top gives DOS(E_F) values of 2.051; 0.000; 1.124; 1.195; 0.550; 0.413 states/eV/atom.